Entry 1:
HfTi2Be: optimized geometry, PBE.

It has space group P4/mmm (No. 123), with a = 3.982 Å, b = 3.982 Å, c = 4.106 Å, α = 90.00°, β = 90.00° and γ = 90.00°. The distinct sites, in fractional coordinates, are Hf at (0.000, 0.000, 0.000), Ti at (0.000, 0.500, 0.500) and Be at (0.500, 0.500, 0.000).

The formation energy is 0.04 eV per atom. The total energy comes out at -0.2694 Ha/atom. Its density of states at the Fermi level is 4.6 states/eV/cell.

---

Entry 2:
HfTi4Be5: optimized geometry, PBE.

It has space group P4/mmm (No. 123), with a = 2.981 Å, b = 2.981 Å, c = 14.785 Å, α = 90.00°, β = 90.00° and γ = 90.00°. The distinct sites, in fractional coordinates, are Hf at (0.000, 0.000, 0.000), Ti at (0.000, 0.000, 0.208), Ti at (0.000, 0.000, 0.403), Be at (0.500, 0.500, 0.113), Be at (0.500, 0.500, 0.305) and Be at (0.500, 0.500, 0.500).

The formation energy is -0.13 eV per atom. The total energy comes out at -0.2258 Ha/atom. Its density of states at the Fermi level is 2.6 states/eV/cell.

---

Entry 3:
Hf2TiBe: optimized geometry, PBE.

It has space group R-3m (No. 166, hexagonal axes), with a = 3.1296 Å, b = 3.1296 Å, c = 26.1040 Å, α = 90.00°, β = 90.00° and γ = 120.00°. The distinct sites, in fractional coordinates, are Hf at (0.0000, 0.0000, 0.2409), Ti at (0.0000, 0.0000, 0.0000) and Be at (0.0000, 0.0000, 0.5000).

The formation energy is 0.19 eV per atom. The total energy comes out at -0.2827 Ha/atom. Its density of states at the Fermi level is 11.0 states/eV/cell.

---

Entry 4:
Hf4BeTl2: optimized geometry, PBE.

It has space group I4/mmm (No. 139), with a = 4.583 Å, b = 4.583 Å, c = 15.035 Å, α = 90.00°, β = 90.00° and γ = 90.00°. The distinct sites, in fractional coordinates, are Hf at (0.000, 0.000, 0.162), Hf at (0.000, 0.500, 0.000), Be at (0.000, 0.000, 0.000) and Tl at (0.000, 0.000, 0.359).

The formation energy is 0.26 eV per atom. The total energy comes out at -0.2439 Ha/atom. Its density of states at the Fermi level is 4.0 states/eV/cell.

---

Entry 5:
HfBeTl3: optimized geometry, PBE.

It has space group Pm-3m (No. 221), with a = 4.925 Å, b = 4.925 Å, c = 4.925 Å, α = 90.00°, β = 90.00° and γ = 90.00°. The distinct sites, in fractional coordinates, are Hf at (0.000, 0.000, 0.000), Be at (0.500, 0.500, 0.500) and Tl at (0.000, 0.500, 0.500).

The formation energy is 0.73 eV per atom. The total energy comes out at -0.1258 Ha/atom. Its density of states at the Fermi level is 3.3 states/eV/cell.

---

Entry 6:
HfBe2Tl: optimized geometry, PBE.

It has space group Fm-3m (No. 225), with a = 6.303 Å, b = 6.303 Å, c = 6.303 Å, α = 90.00°, β = 90.00° and γ = 90.00°. The distinct sites, in fractional coordinates, are Hf at (0.000, 0.000, 0.000), Be at (0.250, 0.250, 0.250) and Tl at (0.000, 0.000, 0.500).

The formation energy is 0.50 eV per atom. The total energy comes out at -0.1632 Ha/atom. Its density of states at the Fermi level is 16.8 states/eV/cell.

---

Entry 7:
Hf2BeTl4: optimized geometry, PBE.

It has space group I4/mmm (No. 139), with a = 5.197 Å, b = 5.197 Å, c = 13.815 Å, α = 90.00°, β = 90.00° and γ = 90.00°. The distinct sites, in fractional coordinates, are Hf at (0.000, 0.000, 0.104), Be at (0.000, 0.000, 0.500), Tl at (0.000, 0.000, 0.317) and Tl at (0.000, 0.500, 0.000).

The formation energy is 0.61 eV per atom. The total energy comes out at -0.1512 Ha/atom. Its density of states at the Fermi level is 10.4 states/eV/cell.

---

Entry 8:
HfBe2Tl: optimized geometry, PBE.

It has space group I-42d (No. 122), with a = 4.216 Å, b = 4.216 Å, c = 16.663 Å, α = 90.00°, β = 90.00° and γ = 90.00°. The distinct sites, in fractional coordinates, are Hf at (0.000, 0.000, 0.000), Be at (0.037, 0.250, 0.625) and Tl at (0.000, 0.000, 0.500).

The formation energy is 0.79 eV per atom. The total energy comes out at -0.1528 Ha/atom. Its density of states at the Fermi level is 8.7 states/eV/cell.

---

Entry 9:
Hf6BeTl2: optimized geometry, PBE.

It has space group P-62m (No. 189), with a = 7.9316 Å, b = 7.9316 Å, c = 3.4987 Å, α = 90.00°, β = 90.00° and γ = 120.00°. The distinct sites, in fractional coordinates, are Hf at (0.0000, 0.2368, 0.0000), Hf at (0.0000, 0.6193, 0.5000), Be at (0.0000, 0.0000, 0.5000) and Tl at (0.3333, 0.6667, 0.0000).

The formation energy is 0.00 eV per atom. The total energy comes out at -0.2784 Ha/atom. Its density of states at the Fermi level is 10.9 states/eV/cell.

---

Entry 10:
HfBeTl: optimized geometry, PBE.

It has space group Cmcm (No. 63), with a = 3.888 Å, b = 15.908 Å, c = 3.628 Å, α = 90.00°, β = 90.00° and γ = 90.00°. The distinct sites, in fractional coordinates, are Hf at (0.000, 0.077, 0.250), Be at (0.000, 0.466, 0.250) and Tl at (0.000, 0.303, 0.250).

The formation energy is 0.00 eV per atom. The total energy comes out at -0.1966 Ha/atom. Its density of states at the Fermi level is 7.9 states/eV/cell.

---

Entry 11:
Hf2Be2Tl: optimized geometry, PBE.

It has space group Cmmm (No. 65), with a = 3.552 Å, b = 12.501 Å, c = 3.760 Å, α = 90.00°, β = 90.00° and γ = 90.00°. The distinct sites, in fractional coordinates, are Hf at (0.000, 0.147, 0.000), Be at (0.000, 0.294, 0.500) and Tl at (0.000, 0.500, 0.500).

The formation energy is -0.17 eV per atom. The total energy comes out at -0.2246 Ha/atom. Its density of states at the Fermi level is 3.4 states/eV/cell.

---

Entry 12:
Hf2Be2Tl: optimized geometry, PBE.

It has space group P4/mbm (No. 127), with a = 6.420 Å, b = 6.420 Å, c = 3.982 Å, α = 90.00°, β = 90.00° and γ = 90.00°. The distinct sites, in fractional coordinates, are Hf at (0.165, 0.335, 0.000), Be at (0.118, 0.618, 0.500) and Tl at (0.000, 0.000, 0.500).

The formation energy is -0.12 eV per atom. The total energy comes out at -0.2228 Ha/atom. Its density of states at the Fermi level is 3.4 states/eV/cell.

---

Entry 13:
HfBeTl3: optimized geometry, PBE.

It has space group Pm-3m (No. 221), with a = 5.689 Å, b = 5.689 Å, c = 5.689 Å, α = 90.00°, β = 90.00° and γ = 90.00°. The distinct sites, in fractional coordinates, are Hf at (0.000, 0.000, 0.000), Be at (0.500, 0.500, 0.500) and Tl at (0.000, 0.000, 0.500).

The formation energy is 1.15 eV per atom. The total energy comes out at -0.1104 Ha/atom. Its density of states at the Fermi level is 4.5 states/eV/cell.

---

Entry 14:
TmHfBe4: optimized geometry, PBE.

It has space group F-43m (No. 216), with a = 6.871 Å, b = 6.871 Å, c = 6.871 Å, α = 90.00°, β = 90.00° and γ = 90.00°. The distinct sites, in fractional coordinates, are Tm at (0.000, 0.000, 0.000), Hf at (0.250, 0.250, 0.750) and Be at (0.122, 0.122, 0.378).

The formation energy is 0.03 eV per atom. The total energy comes out at -0.1786 Ha/atom. Its density of states at the Fermi level is 20.3 states/eV/cell.

---

Entry 15:
TmHfBe2: optimized geometry, PBE.

It has space group Fm-3m (No. 225), with a = 6.462 Å, b = 6.462 Å, c = 6.462 Å, α = 90.00°, β = 90.00° and γ = 90.00°. The distinct sites, in fractional coordinates, are Tm at (0.000, 0.000, 0.000), Hf at (0.000, 0.000, 0.500) and Be at (0.250, 0.250, 0.250).

The formation energy is 0.06 eV per atom. The total energy comes out at -0.1987 Ha/atom. Its density of states at the Fermi level is 16.7 states/eV/cell.

---

Entry 16:
TmHfBe17: optimized geometry, PBE.

It has space group R3m (No. 160, hexagonal axes), with a = 7.5672 Å, b = 7.5672 Å, c = 11.0369 Å, α = 90.00°, β = 90.00° and γ = 120.00°. The distinct sites, in fractional coordinates, are Tm at (0.0000, 0.0000, 0.0000), Hf at (0.0000, 0.0000, 0.6760), Be at (0.0000, 0.0000, 0.2444), Be at (0.0000, 0.0000, 0.4370), Be at (0.0013, 0.2855, 0.3387), Be at (0.0012, 0.5006, 0.4972), Be at (0.0019, 0.5010, 0.1797) and Be at (0.1682, 0.3364, 0.1737).

The formation energy is -0.19 eV per atom. The total energy comes out at -0.1575 Ha/atom. Its density of states at the Fermi level is 10.9 states/eV/cell.

---

Entry 17:
TmHfBe10: optimized geometry, PBE.

It has space group Pmmm (No. 47), with a = 3.512 Å, b = 4.604 Å, c = 7.958 Å, α = 90.00°, β = 90.00° and γ = 90.00°. The distinct sites, in fractional coordinates, are Tm at (0.000, 0.000, 0.000), Hf at (0.000, 0.500, 0.500), Be at (0.000, 0.000, 0.341), Be at (0.000, 0.500, 0.176), Be at (0.500, 0.000, 0.500), Be at (0.500, 0.257, 0.260) and Be at (0.500, 0.500, 0.000).

The formation energy is -0.20 eV per atom. The total energy comes out at -0.1656 Ha/atom. Its density of states at the Fermi level is 2.8 states/eV/cell.

---

Entry 18:
TmHfBe: optimized geometry, PBE.

It has space group P4/nmm (No. 129, origin choice 2), with a = 4.477 Å, b = 4.477 Å, c = 6.385 Å, α = 90.00°, β = 90.00° and γ = 90.00°. The distinct sites, in fractional coordinates, are Tm at (0.250, 0.750, 0.000), Hf at (0.250, 0.750, 0.500) and Be at (0.250, 0.250, 0.273).

The formation energy is 0.32 eV per atom. The total energy comes out at -0.2105 Ha/atom. Its density of states at the Fermi level is 6.9 states/eV/cell.

---

Entry 19:
TmHfBe2: optimized geometry, PBE.

It has space group P4/mmm (No. 123), with a = 3.234 Å, b = 3.234 Å, c = 6.458 Å, α = 90.00°, β = 90.00° and γ = 90.00°. The distinct sites, in fractional coordinates, are Tm at (0.000, 0.000, 0.000), Hf at (0.000, 0.000, 0.500) and Be at (0.500, 0.500, 0.282).

The formation energy is -0.01 eV per atom. The total energy comes out at -0.2013 Ha/atom. Its density of states at the Fermi level is 1.8 states/eV/cell.

---

Entry 20:
TmHfBe: optimized geometry, PBE.

It has space group I4mm (No. 107), with a = 3.203 Å, b = 3.203 Å, c = 11.639 Å, α = 90.00°, β = 90.00° and γ = 90.00°. The distinct sites, in fractional coordinates, are Tm at (0.000, 0.000, 0.000), Hf at (0.000, 0.000, 0.292) and Be at (0.000, 0.000, 0.664).

The formation energy is 0.08 eV per atom. The total energy comes out at -0.2193 Ha/atom. Its density of states at the Fermi level is 4.2 states/eV/cell.